Computed, not measured: ZrBe2Ir at its PBEsol-relaxed geometry at the SCAN level of DFT.

abc: 3.6339 4.1552 4.5247
angles: 117.33 113.68 90.00
With the nearest neighbours (Å) after each atom.
Atoms (fractional coordinates):
1 Be 0.0277 0.0277 0.0554  2 Be 2.29
2 Be 0.7215 0.2215 0.4430  2 Be 2.29
3 Ir 0.4940 0.4940 0.9880  4 Zr 2.62-2.69, 8 Be 2.64-2.77
4 Zr 0.2568 0.7568 0.5136  4 Ir 2.62-2.69, 8 Be 2.65-2.77

Output
**Offset from the most stable computed form**: 284 meV/atom

---

Computed, not measured: ZrBe2Ir at its PBEsol-relaxed geometry at the SCAN level of DFT.

abc: 3.7814 3.7814 4.8677
angles: 67.14 67.14 60.00
With the nearest neighbours (Å) after each atom.
Atoms (fractional coordinates):
1 Be 0.7073 0.7073 0.8782  3 Ir 2.25, 3 Be 2.43
2 Be 0.2927 0.2927 0.1218  3 Ir 2.25, 3 Be 2.43
3 Ir 0.0000 0.0000 0.0000  6 Be 2.25
4 Zr 0.5000 0.5000 0.5000  8 Be 2.71-2.73

Output
**Offset from the most stable computed form**: 0 meV/atom

---

Computed, not measured: ZrBeIr2 at its PBEsol-relaxed geometry at the SCAN level of DFT.

abc: 3.0243 3.0243 6.1849
angles: 90.00 90.00 90.00
With the nearest neighbours (Å) after each atom.
Atoms (fractional coordinates):
1 Be 0.5000 0.5000 0.5000  8 Ir 2.52
2 Ir 0.0000 0.0000 0.7154  4 Be 2.52, 1 Ir 2.66, 4 Zr 2.77
3 Ir 0.0000 0.0000 0.2846  4 Be 2.52, 1 Ir 2.66, 4 Zr 2.77
4 Zr 0.5000 0.5000 0.0000  8 Ir 2.77, 4 Zr 3.02, 2 Be 3.09

---

Computed, not measured: ZrBe2Ir at its PBEsol-relaxed geometry at the SCAN level of DFT.

abc: 2.9804 3.6441 4.8834
angles: 90.00 107.77 90.00
With the nearest neighbours (Å) after each atom.
Atoms (fractional coordinates):
1 Be 0.7973 0.0000 0.5946  2 Be 2.11, 2 Ir 2.34
2 Be 0.6832 0.5000 0.3663  2 Be 2.11
3 Ir 0.1035 0.0000 0.2069  6 Be 2.34-2.47
4 Zr 0.4147 0.5000 0.8295  7 Be 2.50-2.62

Output
**Offset from the most stable computed form**: 101 meV/atom

---

Computed, not measured: ZrBe2Ir at its PBEsol-relaxed geometry at the SCAN level of DFT.

abc: 3.7342 3.7342 3.8873
angles: 90.00 90.00 90.00
With the nearest neighbours (Å) after each atom.
Atoms (fractional coordinates):
1 Be 0.0000 0.5000 0.0000  4 Be 2.64, 4 Zr 2.70, 4 Ir 2.70
2 Be 0.5000 0.0000 0.0000  4 Be 2.64, 4 Zr 2.70, 4 Ir 2.70
3 Ir 0.5000 0.5000 0.5000  4 Zr 2.64, 8 Be 2.70
4 Zr 0.0000 0.0000 0.5000  4 Ir 2.64, 8 Be 2.70

Output
**Offset from the most stable computed form**: 343 meV/atom

---

Computed, not measured: ZrBeIr2 at its PBEsol-relaxed geometry at the SCAN level of DFT.

abc: 2.7606 2.7606 8.9563
angles: 81.13 81.13 60.00
With the nearest neighbours (Å) after each atom.
Atoms (fractional coordinates):
1 Be 0.2600 0.2600 0.2200  3 Ir 2.37
2 Ir 0.9929 0.9929 0.0212  3 Be 2.37
3 Ir 0.7443 0.7443 0.7671  9 Ir 2.75-2.76, 3 Zr 2.90
4 Zr 0.5028 0.5028 0.4917  6 Zr 2.76, 3 Be 2.88, 3 Ir 2.90

---

Computed, not measured: KBe at its PBEsol-relaxed geometry at the SCAN level of DFT.

abc: 4.2027 5.7383 5.7504
angles: 119.93 90.00 90.00
With the nearest neighbours (Å) after each atom.
Atoms (fractional coordinates):
1 Be 0.2500 0.4998 0.9996  2 Be 2.10
2 Be 0.7500 0.5002 0.0004  2 Be 2.10
3 K 0.2500 0.1663 0.3327  3 Be 3.31-3.32
4 K 0.7500 0.8337 0.6673  3 Be 3.31-3.32

Output
**Offset from the most stable computed form**: 0 meV/atom

---

Computed, not measured: KBe at its PBEsol-relaxed geometry at the SCAN level of DFT.

abc: 3.5013 3.5013 4.7295
angles: 90.00 90.00 90.00
With the nearest neighbours (Å) after each atom.
Atoms (fractional coordinates):
1 Be 0.0000 0.0000 0.0000  8 K 3.42, 4 Be 3.50
2 K 0.5000 0.5000 0.5000  8 Be 3.42, 4 K 3.50

Output
**Offset from the most stable computed form**: 546 meV/atom

---

Number 1: volume 13.5 Å³/atom, formation energy -393 meV/atom. Number 2: volume 13.5 Å³/atom, formation energy -677 meV/atom. Number 3: volume 14.1 Å³/atom, formation energy -827 meV/atom. Number 4: volume 12.6 Å³/atom, formation energy -576 meV/atom. Number 5: volume 13.6 Å³/atom, formation energy -334 meV/atom. Number 6: volume 14.5 Å³/atom, formation energy -10 meV/atom. Number 7: volume 30.0 Å³/atom, formation energy 626 meV/atom. Number 8: volume 29.0 Å³/atom, formation energy 1172 meV/atom.